Entry 1:
# PBE ErTh2ScBi5, relaxed
data_ErTh2ScBi5
_cell_length_a 5.428
_cell_length_b 5.428
_cell_length_c 11.376
_cell_angle_alpha 90.00
_cell_angle_beta 90.00
_cell_angle_gamma 90.00
_symmetry_space_group_name_H-M 'P 1'
_symmetry_Int_Tables_number 1
_symmetry_space_group_name_Hall 'P 1'
loop_
_atom_site_label
_atom_site_type_symbol
_atom_site_fract_x
_atom_site_fract_y
_atom_site_fract_z
Er1 Er 0.000 0.000 0.500
Th1 Th 0.500 0.500 0.298
Th2 Th 0.500 0.500 0.702
Sc1 Sc 0.000 0.000 0.000
Bi1 Bi 0.000 0.500 0.500
Bi2 Bi 0.500 0.000 0.500
Bi3 Bi 0.000 0.000 0.760
Bi4 Bi 0.000 0.000 0.240
Bi5 Bi 0.500 0.500 0.000
# Formation enthalpy at 0 K in eV/atom: 0.06
# Theoretical density in g/cm3: 8.5
# M_tot in μB/cell: 0.00

---

Entry 2:
# PBE ErTm2ScBi5, relaxed
data_ErTm2ScBi5
_cell_length_a 5.441
_cell_length_b 5.441
_cell_length_c 11.414
_cell_angle_alpha 90.00
_cell_angle_beta 90.00
_cell_angle_gamma 90.00
_symmetry_space_group_name_H-M 'P 1'
_symmetry_Int_Tables_number 1
_symmetry_space_group_name_Hall 'P 1'
loop_
_atom_site_label
_atom_site_type_symbol
_atom_site_fract_x
_atom_site_fract_y
_atom_site_fract_z
Er1 Er 0.000 0.000 0.500
Tm1 Tm 0.500 0.500 0.277
Tm2 Tm 0.500 0.500 0.723
Sc1 Sc 0.000 0.000 0.000
Bi1 Bi 0.000 0.500 0.500
Bi2 Bi 0.500 0.000 0.500
Bi3 Bi 0.000 0.000 0.760
Bi4 Bi 0.000 0.000 0.240
Bi5 Bi 0.500 0.500 0.000
# Formation enthalpy at 0 K in eV/atom: 0.13
# Theoretical density in g/cm3: 7.8
# M_tot in μB/cell: 0.00

---

Entry 3:
# PBE Er3Tm2ScBi6, relaxed
data_Er3Tm2ScBi6
_cell_length_a 4.414
_cell_length_b 8.829
_cell_length_c 9.866
_cell_angle_alpha 102.85
_cell_angle_beta 102.92
_cell_angle_gamma 90.00
_symmetry_space_group_name_H-M 'P 1'
_symmetry_Int_Tables_number 1
_symmetry_space_group_name_Hall 'P 1'
loop_
_atom_site_label
_atom_site_type_symbol
_atom_site_fract_x
_atom_site_fract_y
_atom_site_fract_z
Er1 Er 0.500 0.500 0.000
Er2 Er 0.832 0.166 0.664
Er3 Er 0.168 0.834 0.336
Tm1 Tm 0.834 0.667 0.668
Tm2 Tm 0.166 0.333 0.332
Sc1 Sc 0.500 0.000 0.000
Bi1 Bi 0.337 0.918 0.674
Bi2 Bi 0.667 0.583 0.334
Bi3 Bi 0.663 0.082 0.326
Bi4 Bi 0.999 0.241 0.999
Bi5 Bi 0.001 0.759 0.001
Bi6 Bi 0.333 0.417 0.666
# Formation enthalpy at 0 K in eV/atom: -0.77
# Theoretical density in g/cm3: 9.7
# M_tot in μB/cell: 0.00

---

Entry 4:
# PBE ErTmSc2Bi4, relaxed
data_ErTmSc2Bi4
_cell_length_a 4.355
_cell_length_b 7.541
_cell_length_c 7.542
_cell_angle_alpha 109.45
_cell_angle_beta 90.00
_cell_angle_gamma 90.00
_symmetry_space_group_name_H-M 'P 1'
_symmetry_Int_Tables_number 1
_symmetry_space_group_name_Hall 'P 1'
loop_
_atom_site_label
_atom_site_type_symbol
_atom_site_fract_x
_atom_site_fract_y
_atom_site_fract_z
Er1 Er 0.500 0.500 0.000
Tm1 Tm 0.000 0.000 0.000
Sc1 Sc 0.500 0.000 0.500
Sc2 Sc 0.000 0.500 0.500
Bi1 Bi 0.500 0.253 0.262
Bi2 Bi 0.500 0.747 0.738
Bi3 Bi 0.000 0.245 0.738
Bi4 Bi 0.000 0.755 0.262
# Formation enthalpy at 0 K in eV/atom: -0.73
# Theoretical density in g/cm3: 9.0
# M_tot in μB/cell: 0.00

---

Entry 5:
# PBE ErTm2Sc3Bi6, relaxed
data_ErTm2Sc3Bi6
_cell_length_a 7.542
_cell_length_b 7.542
_cell_length_c 7.535
_cell_angle_alpha 99.59
_cell_angle_beta 99.59
_cell_angle_gamma 120.02
_symmetry_space_group_name_H-M 'P 1'
_symmetry_Int_Tables_number 1
_symmetry_space_group_name_Hall 'P 1'
loop_
_atom_site_label
_atom_site_type_symbol
_atom_site_fract_x
_atom_site_fract_y
_atom_site_fract_z
Er1 Er 0.000 0.000 0.000
Tm1 Tm 0.333 0.667 0.000
Tm2 Tm 0.667 0.333 0.000
Sc1 Sc 0.166 0.834 0.500
Sc2 Sc 0.834 0.166 0.500
Sc3 Sc 0.500 0.500 0.500
Bi1 Bi 0.913 0.579 0.738
Bi2 Bi 0.753 0.753 0.262
Bi3 Bi 0.087 0.421 0.262
Bi4 Bi 0.579 0.913 0.738
Bi5 Bi 0.247 0.247 0.738
Bi6 Bi 0.421 0.087 0.262
# Formation enthalpy at 0 K in eV/atom: -0.72
# Theoretical density in g/cm3: 9.0
# M_tot in μB/cell: 0.00

---

Entry 6:
# PBE Er2Tm3ScBi6, relaxed
data_Er2Tm3ScBi6
_cell_length_a 4.411
_cell_length_b 8.825
_cell_length_c 9.861
_cell_angle_alpha 102.87
_cell_angle_beta 102.92
_cell_angle_gamma 90.00
_symmetry_space_group_name_H-M 'P 1'
_symmetry_Int_Tables_number 1
_symmetry_space_group_name_Hall 'P 1'
loop_
_atom_site_label
_atom_site_type_symbol
_atom_site_fract_x
_atom_site_fract_y
_atom_site_fract_z
Er1 Er 0.834 0.668 0.668
Er2 Er 0.166 0.332 0.332
Tm1 Tm 0.500 0.500 0.000
Tm2 Tm 0.832 0.166 0.664
Tm3 Tm 0.168 0.834 0.336
Sc1 Sc 0.500 0.000 0.000
Bi1 Bi 0.337 0.919 0.673
Bi2 Bi 0.666 0.584 0.333
Bi3 Bi 0.663 0.081 0.327
Bi4 Bi 0.999 0.242 0.998
Bi5 Bi 0.001 0.758 0.002
Bi6 Bi 0.334 0.416 0.667
# Formation enthalpy at 0 K in eV/atom: -0.77
# Theoretical density in g/cm3: 9.8
# M_tot in μB/cell: 0.00

---

Entry 7:
# PBE Y2ErSc3Bi6, relaxed
data_Y2ErSc3Bi6
_cell_length_a 7.572
_cell_length_b 7.572
_cell_length_c 7.562
_cell_angle_alpha 99.60
_cell_angle_beta 99.60
_cell_angle_gamma 120.02
_symmetry_space_group_name_H-M 'P 1'
_symmetry_Int_Tables_number 1
_symmetry_space_group_name_Hall 'P 1'
loop_
_atom_site_label
_atom_site_type_symbol
_atom_site_fract_x
_atom_site_fract_y
_atom_site_fract_z
Y1 Y 0.334 0.666 0.000
Y2 Y 0.666 0.334 0.000
Er1 Er 0.000 0.000 0.000
Sc1 Sc 0.168 0.832 0.500
Sc2 Sc 0.832 0.168 0.500
Sc3 Sc 0.500 0.500 0.500
Bi1 Bi 0.912 0.580 0.736
Bi2 Bi 0.757 0.757 0.265
Bi3 Bi 0.088 0.420 0.264
Bi4 Bi 0.580 0.912 0.736
Bi5 Bi 0.243 0.243 0.735
Bi6 Bi 0.420 0.088 0.264
# Formation enthalpy at 0 K in eV/atom: -0.76
# Theoretical density in g/cm3: 8.1
# M_tot in μB/cell: 0.00

---

Entry 8:
# PBE Y3Er2ScBi6, relaxed
data_Y3Er2ScBi6
_cell_length_a 4.436
_cell_length_b 8.874
_cell_length_c 9.917
_cell_angle_alpha 102.86
_cell_angle_beta 102.93
_cell_angle_gamma 90.00
_symmetry_space_group_name_H-M 'P 1'
_symmetry_Int_Tables_number 1
_symmetry_space_group_name_Hall 'P 1'
loop_
_atom_site_label
_atom_site_type_symbol
_atom_site_fract_x
_atom_site_fract_y
_atom_site_fract_z
Y1 Y 0.500 0.500 0.000
Y2 Y 0.832 0.166 0.664
Y3 Y 0.168 0.834 0.336
Er1 Er 0.834 0.668 0.668
Er2 Er 0.166 0.332 0.332
Sc1 Sc 0.500 0.000 0.000
Bi1 Bi 0.338 0.917 0.675
Bi2 Bi 0.667 0.582 0.335
Bi3 Bi 0.662 0.083 0.325
Bi4 Bi 0.000 0.240 0.000
Bi5 Bi 0.000 0.760 0.000
Bi6 Bi 0.333 0.418 0.665
# Formation enthalpy at 0 K in eV/atom: -0.82
# Theoretical density in g/cm3: 8.5
# M_tot in μB/cell: 0.00

---

Entry 9:
# PBE Y2Er3ScBi6, relaxed
data_Y2Er3ScBi6
_cell_length_a 4.430
_cell_length_b 8.865
_cell_length_c 9.904
_cell_angle_alpha 102.88
_cell_angle_beta 102.92
_cell_angle_gamma 90.00
_symmetry_space_group_name_H-M 'P 1'
_symmetry_Int_Tables_number 1
_symmetry_space_group_name_Hall 'P 1'
loop_
_atom_site_label
_atom_site_type_symbol
_atom_site_fract_x
_atom_site_fract_y
_atom_site_fract_z
Y1 Y 0.834 0.668 0.669
Y2 Y 0.166 0.332 0.331
Er1 Er 0.500 0.500 0.000
Er2 Er 0.831 0.166 0.662
Er3 Er 0.169 0.834 0.338
Sc1 Sc 0.500 0.000 0.000
Bi1 Bi 0.337 0.921 0.674
Bi2 Bi 0.666 0.585 0.332
Bi3 Bi 0.663 0.079 0.326
Bi4 Bi 0.998 0.241 0.996
Bi5 Bi 0.002 0.759 0.004
Bi6 Bi 0.334 0.415 0.668
# Formation enthalpy at 0 K in eV/atom: -0.81
# Theoretical density in g/cm3: 8.9
# M_tot in μB/cell: 0.00

---

Entry 10:
# PBE Y3ErSc2Bi6, relaxed
data_Y3ErSc2Bi6
_cell_length_a 7.636
_cell_length_b 7.636
_cell_length_c 7.628
_cell_angle_alpha 99.61
_cell_angle_beta 99.61
_cell_angle_gamma 120.02
_symmetry_space_group_name_H-M 'P 1'
_symmetry_Int_Tables_number 1
_symmetry_space_group_name_Hall 'P 1'
loop_
_atom_site_label
_atom_site_type_symbol
_atom_site_fract_x
_atom_site_fract_y
_atom_site_fract_z
Y1 Y 0.164 0.836 0.500
Y2 Y 0.836 0.164 0.500
Y3 Y 0.500 0.500 0.500
Er1 Er 0.000 0.000 0.000
Sc1 Sc 0.332 0.668 0.000
Sc2 Sc 0.668 0.332 0.000
Bi1 Bi 0.920 0.580 0.760
Bi2 Bi 0.738 0.738 0.237
Bi3 Bi 0.080 0.420 0.240
Bi4 Bi 0.580 0.920 0.760
Bi5 Bi 0.262 0.262 0.763
Bi6 Bi 0.420 0.080 0.240
# Formation enthalpy at 0 K in eV/atom: -0.80
# Theoretical density in g/cm3: 8.1
# M_tot in μB/cell: 0.00

---

Entry 11:
# PBE Y2ErScBi4, relaxed
data_Y2ErScBi4
_cell_length_a 4.425
_cell_length_b 7.660
_cell_length_c 7.659
_cell_angle_alpha 109.47
_cell_angle_beta 90.00
_cell_angle_gamma 90.00
_symmetry_space_group_name_H-M 'P 1'
_symmetry_Int_Tables_number 1
_symmetry_space_group_name_Hall 'P 1'
loop_
_atom_site_label
_atom_site_type_symbol
_atom_site_fract_x
_atom_site_fract_y
_atom_site_fract_z
Y1 Y 0.500 0.000 0.500
Y2 Y 0.000 0.500 0.500
Er1 Er 0.000 0.000 0.000
Sc1 Sc 0.500 0.500 0.000
Bi1 Bi 0.500 0.253 0.243
Bi2 Bi 0.500 0.747 0.757
Bi3 Bi 0.000 0.259 0.761
Bi4 Bi 0.000 0.741 0.239
# Formation enthalpy at 0 K in eV/atom: -0.81
# Theoretical density in g/cm3: 8.3
# M_tot in μB/cell: 0.00

---

Entry 12:
# PBE Er2ZrScBi4, relaxed
data_Er2ZrScBi4
_cell_length_a 4.338
_cell_length_b 7.518
_cell_length_c 7.537
_cell_angle_alpha 109.29
_cell_angle_beta 90.00
_cell_angle_gamma 90.00
_symmetry_space_group_name_H-M 'P 1'
_symmetry_Int_Tables_number 1
_symmetry_space_group_name_Hall 'P 1'
loop_
_atom_site_label
_atom_site_type_symbol
_atom_site_fract_x
_atom_site_fract_y
_atom_site_fract_z
Er1 Er 0.500 0.000 0.500
Er2 Er 0.000 0.500 0.500
Zr1 Zr 0.000 0.000 0.000
Sc1 Sc 0.500 0.500 0.000
Bi1 Bi 0.500 0.248 0.239
Bi2 Bi 0.500 0.752 0.761
Bi3 Bi 0.000 0.255 0.762
Bi4 Bi 0.000 0.745 0.238
# Formation enthalpy at 0 K in eV/atom: -0.62
# Theoretical density in g/cm3: 9.4
# M_tot in μB/cell: 0.00

---

What is the theoretical density in the ninth record? 8.9 g/cm3

---

formation enthalpy at 0 K of number 4 (ErTmSc2Bi4)? -0.73 eV/atom

---

Which of these has the lowest theoretical density? ErTm2ScBi5

---

Which formula does entry 9 have? Y2Er3ScBi6